# Te3ICl

Te3ICl after structural relaxation (GGA-PBE, Alexandria via LeMat-Bulk).

Unit cell a=5.8675 b=5.8675 c=5.8675 alpha=90.00 beta=90.00 gamma=90.00
With the nearest neighbours (Å) after each atom.
Sites, in units of the cell vectors:
I1 0.0000 0.0000 0.0000  6 Te 2.93
Te1 0.0000 0.5000 0.0000  2 I 2.93
Te2 0.0000 0.0000 0.5000  2 I 2.93
Te3 0.5000 0.0000 0.0000  2 I 2.93
Cl1 0.5000 0.5000 0.5000  12 Te 4.15

Calculated values
- DFT total energy (eV for the cell shown) = -8.58
- density of states at the Fermi level (states/eV/f.u.) = 7.93

---

# Te2ICl

Te2ICl after structural relaxation (GGA-PBE, Alexandria via LeMat-Bulk).

Unit cell a=12.8690 b=12.8690 c=12.8690 alpha=15.14 beta=15.14 gamma=15.14
With the nearest neighbours (Å) after each atom.
Sites, in units of the cell vectors:
I1 0.5000 0.5000 0.5000  6 I 3.39
Te1 0.0693 0.0693 0.0693  1 Cl 2.65
Te2 0.9307 0.9307 0.9307  1 Cl 2.65
Cl1 0.0000 0.0000 0.0000  2 Te 2.65

Calculated values
- DFT total energy (eV for the cell shown) = -8.89
- density of states at the Fermi level (states/eV/f.u.) = 3.01

---

# Te2ICl

Te2ICl after structural relaxation (GGA-PBE, Alexandria via LeMat-Bulk).

Unit cell a=5.1227 b=5.1227 c=11.5045 alpha=77.14 beta=77.14 gamma=90.00
With the nearest neighbours (Å) after each atom.
Sites, in units of the cell vectors:
I1 0.0000 0.0000 0.0000  4 Te 3.10
I2 0.7500 0.2500 0.5000  4 Te 3.10
Te1 0.7352 0.1250 0.2500  2 Te 2.93, 2 I 3.10
Te2 0.0148 0.6250 0.2500  2 Te 2.93, 2 I 3.10
Te3 0.3750 0.2648 0.7500  2 Te 2.93, 2 I 3.10
Te4 0.8750 0.9852 0.7500  2 Te 2.93, 2 I 3.10
Cl1 0.5000 0.5000 0.0000  4 Te 3.54, 4 I 3.62
Cl2 0.2500 0.7500 0.5000  4 Te 3.54, 4 I 3.62

Calculated values
- DFT total energy (eV for the cell shown) = -18.32
- density of states at the Fermi level (states/eV/f.u.) = 1.79

---

# TiTeI2Cl

TiTeI2Cl after structural relaxation (GGA-PBE, Alexandria via LeMat-Bulk).

Unit cell a=5.4582 b=5.4582 c=5.8704 alpha=90.00 beta=90.00 gamma=90.00
With the nearest neighbours (Å) after each atom.
Sites, in units of the cell vectors:
I1 0.0000 0.5000 0.0000  2 Cl 2.73
I2 0.5000 0.0000 0.0000  2 Cl 2.73
Cl1 0.0000 0.0000 0.0000  4 I 2.73, 2 Te 2.94
Te1 0.0000 0.0000 0.5000  2 Cl 2.94
Ti1 0.5000 0.5000 0.5000  4 Te 3.86, 8 I 4.01

Calculated values
- DFT total energy (eV for the cell shown) = -12.29
- density of states at the Fermi level (states/eV/f.u.) = 2.33

---

# TiTeI2Cl

TiTeI2Cl after structural relaxation (GGA-PBE, Alexandria via LeMat-Bulk).

Unit cell a=5.4168 b=5.4168 c=5.3967 alpha=90.00 beta=90.00 gamma=90.00
With the nearest neighbours (Å) after each atom.
Sites, in units of the cell vectors:
I1 0.0000 0.5000 0.0000  2 Ti 2.71
I2 0.5000 0.0000 0.0000  2 Ti 2.71
Cl1 0.5000 0.5000 0.5000  8 I 3.82, 4 Te 3.83
Te1 0.0000 0.0000 0.5000  2 Ti 2.70
Ti1 0.0000 0.0000 0.0000  2 Te 2.70, 4 I 2.71

Calculated values
- DFT total energy (eV for the cell shown) = -17.17
- density of states at the Fermi level (states/eV/f.u.) = 5.62

---

# TlTeI2Cl

TlTeI2Cl after structural relaxation (GGA-PBE, Alexandria via LeMat-Bulk).

Unit cell a=6.2312 b=6.2312 c=5.4195 alpha=90.00 beta=90.00 gamma=90.00
With the nearest neighbours (Å) after each atom.
Sites, in units of the cell vectors:
I1 0.0000 0.5000 0.0000  2 Te 3.12
I2 0.5000 0.0000 0.0000  2 Te 3.12
Tl1 0.5000 0.5000 0.5000  8 I 4.13, 4 Cl 4.41
Te1 0.0000 0.0000 0.0000  2 Cl 2.71
Cl1 0.0000 0.0000 0.5000  2 Te 2.71

Calculated values
- DFT total energy (eV for the cell shown) = -11.99
- density of states at the Fermi level (states/eV/f.u.) = 4.03